# 1
# AcIrI

An optimized crystal structure of AcIrI (PBE, the Alexandria database).

offset from the most stable computed form	0.832	eV per atom
total magnetic moment	0.3178	μB per atom
uncorrected formation energy	-283	meV/atom

Lattice parameters (Å, degrees): 4.153 4.153 11.522 90.00 90.00 90.00
Space group I4mm (No. 107)
Symmetry-distinct sites (fractional):
1 Ac 0.000 0.000 0.000 [2 per cell]
2 Ir 0.000 0.000 0.556 [2 per cell]
3 I 0.000 0.000 0.308 [2 per cell]

# 2
# Pm5Pr12Th2

An optimized crystal structure of Pm5Pr12Th2 (PBE, the Alexandria database).

offset from the most stable computed form	0.000	eV per atom
total magnetic moment	0.0000	μB per atom
E_form	0.118	eV/atom

Lattice parameters (Å, degrees): 18.415 11.916 6.314 90.00 103.20 90.00
Space group C2/m (No. 12)
Symmetry-distinct sites (fractional):
1 Pm 0.000 0.000 0.000 [2 per cell]
2 Pm 0.179 0.500 0.353 [4 per cell]
3 Pm 0.213 0.000 0.057 [4 per cell]
4 Pr 0.054 0.500 0.766 [4 per cell]
5 Pr 0.102 0.253 0.110 [8 per cell]
6 Pr 0.117 0.000 0.500 [4 per cell]
7 Pr 0.198 0.257 0.700 [8 per cell]
8 Th 0.000 0.232 0.500 [4 per cell]

# 3
# MgTaHg2

An optimized crystal structure of MgTaHg2 (PBE, the Alexandria database).

total magnetic moment	0.0000	μB per atom
E_form	0.262	eV/atom

Lattice parameters (Å, degrees): 3.087 4.571 5.945 90.00 104.86 90.00
Space group Pm (No. 6)
Symmetry-distinct sites (fractional):
1 Mg 0.000 0.000 0.000 [1 per cell]
2 Ta 0.651 0.500 0.301 [1 per cell]
3 Hg 0.244 0.000 0.487 [1 per cell]
4 Hg 0.406 0.500 0.810 [1 per cell]

# 4
# KTlS

An optimized crystal structure of KTlS (PBE, the Alexandria database).

offset from the most stable computed form	0.000	eV per atom
total magnetic moment	0.0000	μB per atom
uncorrected formation energy	-738	meV/atom

Lattice parameters (Å, degrees): 6.162 4.590 7.589 90.00 113.30 90.00
Space group P2_1/m (No. 11)
Symmetry-distinct sites (fractional):
1 K 0.218 0.250 0.417 [2 per cell]
2 Tl 0.227 0.250 0.929 [2 per cell]
3 S 0.355 0.750 0.731 [2 per cell]

# 5
# SrTl3Ag3I8

An optimized crystal structure of SrTl3Ag3I8 (PBE, the Alexandria database).

total magnetic moment	0.0000	μB per atom
uncorrected formation energy	-660	meV/atom

Lattice parameters (Å, degrees): 15.810 9.080 9.607 90.00 123.01 90.00
Space group C2/m (No. 12)
Symmetry-distinct sites (fractional):
1 Sr 0.000 0.000 0.000 [2 per cell]
2 Tl 0.000 0.000 0.500 [2 per cell]
3 Tl 0.250 0.250 0.500 [4 per cell]
4 Ag 0.000 0.500 0.000 [2 per cell]
5 Ag 0.250 0.250 0.000 [4 per cell]
6 I 0.013 0.263 0.778 [8 per cell]
7 I 0.236 0.500 0.204 [4 per cell]
8 I 0.248 0.000 0.220 [4 per cell]

# 6
# CrAuS3

An optimized crystal structure of CrAuS3 (PBE, the Alexandria database).

offset from the most stable computed form	0.216	eV per atom
total magnetic moment	0.0001	μB per atom
uncorrected formation energy	407	meV/atom

Lattice parameters (Å, degrees): 4.477 4.477 4.477 90.00 90.00 90.00
Space group Pm-3m (No. 221)
Symmetry-distinct sites (fractional):
1 Cr 0.000 0.000 0.000 [1 per cell]
2 Au 0.500 0.500 0.500 [1 per cell]
3 S 0.000 0.000 0.500 [3 per cell]

# 7
# AlZnRu4

An optimized crystal structure of AlZnRu4 (PBE, the Alexandria database).

total magnetic moment	0.2491	μB per atom
E_form	0.356	eV/atom

Lattice parameters (Å, degrees): 7.188 7.188 7.188 90.00 90.00 90.00
Space group F-43m (No. 216)
Symmetry-distinct sites (fractional):
1 Al 0.000 0.000 0.000 [4 per cell]
2 Zn 0.250 0.250 0.250 [4 per cell]
3 Ru 0.125 0.125 0.625 [16 per cell]

# 8
# LiCa2MgF

An optimized crystal structure of LiCa2MgF (PBE, the Alexandria database).

total magnetic moment	0.0000	μB per atom
uncorrected formation energy	-1091	meV/atom

Lattice parameters (Å, degrees): 5.264 5.264 4.246 90.00 90.00 90.00
Space group P4/mmm (No. 123)
Symmetry-distinct sites (fractional):
1 Li 0.000 0.000 0.000 [1 per cell]
2 Ca 0.000 0.500 0.500 [2 per cell]
3 Mg 0.500 0.500 0.000 [1 per cell]
4 F 0.000 0.000 0.500 [1 per cell]